RbTaOsBr2 | PBE | optimized geometry

## Properties
Space group ... P4/mmm, No. 123
Total DFT energy (no corrections) ... -4.83 eV per atom
Raw formation energy ... 0.65 eV/atom

a = 5.6430 Å, b = 4.8064 Å, c = 5.6430 Å
α = 90.00°, β = 90.00°, γ = 90.00°
Site moments in Bohr magnetons follow the coordinates.
Fractional positions:
Br: 0.0000 0.0000 0.5000  0.01
Br: 0.5000 0.0000 0.0000  0.03
Ta: 0.0000 0.5000 0.0000  1.04
Os: 0.0000 0.0000 0.0000  -0.45
Rb: 0.5000 0.5000 0.5000  0.01